No. 1
Crystalline CaSm2Zn3 at its relaxed geometry, computed with PBE.

space group: P-3m1 (164)
crystal system: trigonal
DOS(E_F): 0.7699 states/eV/atom
relative energy among the computed polymorphs: 0 meV per atom
formation energy: -29 kJ/mol of atoms

Lattice parameters (Å, degrees): 5.161 5.161 12.591 90.00 90.00 120.00
Fractional positions:
1 Zn 0.667 0.333 0.081
2 Zn 0.000 0.000 0.249
3 Zn 0.000 0.000 0.751
4 Zn 0.667 0.333 0.583
5 Zn 0.333 0.667 0.417
6 Zn 0.333 0.667 0.919
7 Sm 0.333 0.667 0.170
8 Sm 0.000 0.000 0.000
9 Sm 0.000 0.000 0.500
10 Sm 0.667 0.333 0.830
11 Ca 0.667 0.333 0.333
12 Ca 0.333 0.667 0.667

=====

No. 2
Crystalline Hf2MgMo2 at its relaxed geometry, computed with PBE.

space group: P4/mbm (127)
crystal system: tetragonal
DOS(E_F): 1.0350 states/eV/atom
formation energy: 22 kJ/mol of atoms

Lattice parameters (Å, degrees): 7.368 7.368 3.612 90.00 90.00 90.00
Fractional positions:
1 Mo 0.860 0.640 0.000
2 Mo 0.360 0.860 0.000
3 Mo 0.640 0.140 0.000
4 Mo 0.140 0.360 0.000
5 Mg 0.500 0.500 0.000
6 Mg 0.000 0.000 0.000
7 Hf 0.157 0.657 0.500
8 Hf 0.657 0.843 0.500
9 Hf 0.343 0.157 0.500
10 Hf 0.843 0.343 0.500

=====

No. 3
Crystalline La2TbNdDy4 at its relaxed geometry, computed with PBE.

space group: Pmmm (47)
crystal system: orthorhombic
DOS(E_F): 1.4552 states/eV/atom
formation energy: 3 kJ/mol of atoms

Lattice parameters (Å, degrees): 5.176 5.134 11.302 62.95 90.00 90.00
Fractional positions:
1 Dy 0.500 0.251 0.749
2 Dy 0.500 0.749 0.251
3 Dy 0.000 0.752 0.748
4 Dy 0.000 0.248 0.252
5 Tb 0.000 0.500 0.500
6 Nd 0.500 0.500 0.000
7 La 0.500 0.000 0.500
8 La 0.000 0.000 0.000

=====

No. 4
Crystalline U2PaTi at its relaxed geometry, computed with PBE.

space group: Cm (8)
crystal system: monoclinic
DOS(E_F): 2.3705 states/eV/atom
relative energy among the computed polymorphs: 0 meV per atom
formation energy: 14 kJ/mol of atoms

Lattice parameters (Å, degrees): 3.657 5.324 5.822 52.24 71.74 69.94
Fractional positions:
1 Ti 0.494 0.522 0.490
2 U 0.025 0.985 0.965
3 U 0.726 0.767 0.779
4 Pa 0.254 0.226 0.266

=====

No. 5
Crystalline CsYTiCd2 at its relaxed geometry, computed with PBE.

space group: P4/mmm (123)
crystal system: tetragonal
DOS(E_F): 0.8698 states/eV/atom
formation energy: 86 kJ/mol of atoms

Lattice parameters (Å, degrees): 5.463 5.472 5.463 90.00 90.00 90.00
Last column: magnetic moment on the atom in μB.
Fractional positions:
1 Y 0.500 0.500 0.500  -0.22
2 Ti 0.000 0.000 0.000  1.42
3 Cs 0.000 0.500 0.000  0.05
4 Cd 0.000 0.000 0.500  0.03
5 Cd 0.500 0.000 0.000  0.05

=====

No. 6
Crystalline Dy2TcBr at its relaxed geometry, computed with PBE.

space group: R-3m (166)
crystal system: trigonal
DOS(E_F): 0.8583 states/eV/atom
E_form (uncorrected): 0.19 eV per atom
relative energy among the computed polymorphs: 794 meV per atom

Lattice parameters (Å, degrees): 3.316 3.316 10.293 80.73 80.73 60.00
Last column: magnetic moment on the atom in μB.
Fractional positions:
1 Br 0.500 0.500 0.500  0.01
2 Dy 0.913 0.913 0.261  0.05
3 Dy 0.087 0.087 0.739  0.05
4 Tc 0.000 0.000 0.000  1.07

=====

No. 7
Crystalline Zr3Fe8Ir at its relaxed geometry, computed with PBE.

space group: R3m (160)
crystal system: trigonal
DOS(E_F): 0.9255 states/eV/atom
formation energy: -25 kJ/mol of atoms

Lattice parameters (Å, degrees): 4.917 4.917 8.535 73.26 73.26 60.00
Last column: magnetic moment on the atom in μB.
Fractional positions:
1 Fe 0.938 0.938 0.685  2.06
2 Fe 0.438 0.938 0.685  2.06
3 Fe 0.688 0.688 0.936  1.96
4 Fe 0.188 0.188 0.437  2.29
5 Fe 0.938 0.438 0.685  2.06
6 Fe 0.437 0.437 0.187  2.02
7 Fe 0.939 0.437 0.187  2.02
8 Fe 0.437 0.939 0.187  2.02
9 Zr 0.505 0.505 0.484  -0.36
10 Zr 0.376 0.376 0.872  -0.53
11 Zr 0.993 0.993 0.020  -0.36
12 Ir 0.872 0.872 0.384  0.61

=====

No. 8
Crystalline CaTbSm4Se8 at its relaxed geometry, computed with PBE.

space group: R3m (160)
crystal system: trigonal
DOS(E_F): 0.2753 states/eV/atom
E_form (uncorrected): -1.80 eV per atom

Lattice parameters (Å, degrees): 8.600 8.600 8.573 59.90 59.90 60.00
Fractional positions:
1 Se 0.761 0.224 0.254
2 Se 0.224 0.761 0.254
3 Se 0.777 0.239 0.745
4 Se 0.758 0.758 0.727
5 Se 0.242 0.242 0.275
6 Se 0.239 0.239 0.745
7 Se 0.761 0.761 0.254
8 Se 0.239 0.777 0.745
9 Sm 0.494 0.002 0.502
10 Sm 0.624 0.624 0.127
11 Sm 0.002 0.002 0.502
12 Sm 0.002 0.494 0.502
13 Ca 0.375 0.375 0.874
14 Tb 0.002 0.002 0.993

=====

No. 9
Crystalline Na2BeHgP at its relaxed geometry, computed with PBE.

space group: P4/mmm (123)
crystal system: tetragonal
DOS(E_F): 0.4740 states/eV/atom
formation energy: -9 kJ/mol of atoms

Lattice parameters (Å, degrees): 5.643 5.643 3.932 90.00 90.00 90.00
Fractional positions:
1 Hg 0.500 0.500 0.500
2 Na 0.000 0.500 0.000
3 Na 0.500 0.000 0.000
4 P 0.000 0.000 0.000
5 Be 0.000 0.000 0.500

=====

No. 10
Crystalline Th2SiGe at its relaxed geometry, computed with PBE.

space group: Pmc2_1 (26)
crystal system: orthorhombic
DOS(E_F): 0.5711 states/eV/atom
E_form (uncorrected): -0.71 eV per atom
relative energy among the computed polymorphs: 36 meV per atom

Lattice parameters (Å, degrees): 4.255 5.941 7.937 90.00 90.00 90.00
Fractional positions:
1 Si 0.500 0.106 0.958
2 Si 0.500 0.894 0.458
3 Th 0.000 0.118 0.682
4 Th 0.500 0.624 0.819
5 Th 0.000 0.882 0.182
6 Th 0.500 0.376 0.319
7 Ge 0.000 0.391 0.041
8 Ge 0.000 0.609 0.541

=====

No. 11
Crystalline Ac2LaPm4Pr at its relaxed geometry, computed with PBE.

space group: C2/c (15)
crystal system: monoclinic
DOS(E_F): 2.1694 states/eV/atom
formation energy: 35 kJ/mol of atoms

Lattice parameters (Å, degrees): 9.944 9.944 7.182 111.35 111.35 88.69
Fractional positions:
1 Pr 0.500 0.500 0.500
2 Pr 0.000 0.000 0.000
3 Pm 0.761 0.740 0.516
4 Pm 0.230 0.744 0.990
5 Pm 0.760 0.739 0.984
6 Pm 0.756 0.270 0.510
7 Pm 0.239 0.260 0.484
8 Pm 0.240 0.261 0.016
9 Pm 0.770 0.256 0.010
10 Pm 0.244 0.730 0.490
11 Ac 0.500 0.000 0.000
12 Ac 0.500 0.500 0.000
13 Ac 0.500 0.000 0.500
14 Ac 0.000 0.000 0.500
15 La 0.000 0.500 0.500
16 La 0.000 0.500 0.000

=====

No. 12
Crystalline PuAgHgSb at its relaxed geometry, computed with PBE.

space group: F-43m (216)
crystal system: cubic
DOS(E_F): 3.0412 states/eV/atom
E_form (uncorrected): -0.08 eV per atom

Lattice parameters (Å, degrees): 5.162 5.162 5.162 60.00 60.00 60.00
Last column: magnetic moment on the atom in μB.
Fractional positions:
1 Pu 0.000 0.000 0.000  5.43
2 Ag 0.750 0.750 0.750  0.01
3 Sb 0.250 0.250 0.250  0.01
4 Hg 0.500 0.500 0.500  0.01

=====

No. 13
Crystalline K2Sc2Te2S at its relaxed geometry, computed with PBE.

space group: I4/mmm (139)
crystal system: tetragonal
DOS(E_F): 0.6306 states/eV/atom
E_form (uncorrected): -1.22 eV per atom

Lattice parameters (Å, degrees): 4.950 4.950 9.439 105.20 105.20 90.00
Last column: magnetic moment on the atom in μB.
Fractional positions:
1 Te 0.387 0.387 0.774  -0.01
2 Te 0.613 0.613 0.226  -0.01
3 S 0.000 0.000 0.000  -0.01
4 K 0.821 0.821 0.641  0.01
5 K 0.179 0.179 0.359  0.01
6 Sc 0.500 0.000 0.000  0.37
7 Sc 0.000 0.500 0.000  0.37

=====

No. 14
Crystalline TlCrSn2 at its relaxed geometry, computed with PBE.

space group: I-42d (122)
crystal system: tetragonal
DOS(E_F): 0.6339 states/eV/atom
relative energy among the computed polymorphs: 23 meV per atom
formation energy: 41 kJ/mol of atoms

Lattice parameters (Å, degrees): 4.405 4.405 11.103 78.56 78.56 90.00
Last column: magnetic moment on the atom in μB.
Fractional positions:
1 Sn 0.610 0.125 0.250  -0.06
2 Sn 0.140 0.625 0.250  -0.06
3 Sn 0.875 0.860 0.750  -0.06
4 Sn 0.375 0.390 0.750  -0.07
5 Tl 0.000 0.000 0.000  -0.01
6 Tl 0.750 0.250 0.500  -0.02
7 Cr 0.250 0.750 0.500  3.76
8 Cr 0.500 0.500 0.000  3.78

=====

No. 15
Crystalline Pr6USe8 at its relaxed geometry, computed with PBE.

space group: Fm-3m (225)
crystal system: cubic
DOS(E_F): 0.8417 states/eV/atom
E_form (uncorrected): -1.73 eV per atom

Lattice parameters (Å, degrees): 8.493 8.493 8.493 60.00 60.00 60.00
Last column: magnetic moment on the atom in μB.
Fractional positions:
1 Pr 0.500 0.000 0.500  0.06
2 Pr 0.000 0.000 0.500  0.06
3 Pr 0.500 0.500 0.000  0.06
4 Pr 0.000 0.500 0.000  0.06
5 Pr 0.000 0.500 0.500  0.06
6 Pr 0.500 0.000 0.000  0.06
7 Se 0.754 0.246 0.754  -0.02
8 Se 0.246 0.246 0.754  -0.02
9 Se 0.750 0.750 0.750  0.00
10 Se 0.250 0.250 0.250  0.00
11 Se 0.246 0.754 0.754  -0.02
12 Se 0.754 0.754 0.246  -0.02
13 Se 0.246 0.754 0.246  -0.02
14 Se 0.754 0.246 0.246  -0.02
15 U 0.000 0.000 0.000  2.73

=====

No. 16
Crystalline TaSbAsAu2 at its relaxed geometry, computed with PBE.

space group: P4/mmm (123)
crystal system: tetragonal
DOS(E_F): 0.9747 states/eV/atom
E_form (uncorrected): 1.38 eV per atom

Lattice parameters (Å, degrees): 5.052 5.305 5.052 90.00 90.00 90.00
Last column: magnetic moment on the atom in μB.
Fractional positions:
1 As 0.000 0.500 0.000  -0.17
2 Au 0.000 0.000 0.500  -0.02
3 Au 0.500 0.000 0.000  -0.01
4 Sb 0.000 0.000 0.000  0.02
5 Ta 0.500 0.500 0.500  1.90

=====

No. 17
Crystalline SrSc2Ag at its relaxed geometry, computed with PBE.

space group: R-3m (166)
crystal system: trigonal
DOS(E_F): 0.9195 states/eV/atom
relative energy among the computed polymorphs: 326 meV per atom
formation energy: 31 kJ/mol of atoms

Lattice parameters (Å, degrees): 11.084 11.084 11.084 18.00 18.00 18.00
Fractional positions:
1 Ag 0.500 0.500 0.500
2 Sr 0.000 0.000 0.000
3 Sc 0.898 0.898 0.898
4 Sc 0.102 0.102 0.102

=====

No. 18
Crystalline Ca2Ga2Mo at its relaxed geometry, computed with PBE.

space group: P4/mbm (127)
crystal system: tetragonal
DOS(E_F): 0.7133 states/eV/atom
formation energy: 6 kJ/mol of atoms

Lattice parameters (Å, degrees): 6.959 6.959 4.786 90.00 90.00 90.00
Last column: magnetic moment on the atom in μB.
Fractional positions:
1 Mo 0.500 0.500 0.000  1.32
2 Mo 0.000 0.000 0.000  1.35
3 Ga 0.139 0.361 0.000  -0.03
4 Ga 0.861 0.639 0.000  -0.03
5 Ga 0.639 0.139 0.000  -0.01
6 Ga 0.361 0.861 0.000  -0.01
7 Ca 0.177 0.677 0.500  -0.01
8 Ca 0.323 0.177 0.500  0.00
9 Ca 0.677 0.823 0.500  0.00
10 Ca 0.823 0.323 0.500  -0.01

=====

No. 19
Crystalline Co2HPdPt at its relaxed geometry, computed with PBE.

space group: P4/mmm (123)
crystal system: tetragonal
DOS(E_F): 0.9986 states/eV/atom
relative energy among the computed polymorphs: 0 meV per atom

Lattice parameters (Å, degrees): 3.822 3.822 3.808 90.00 90.00 90.00
Last column: magnetic moment on the atom in μB.
Fractional positions:
1 Pd 0.000 0.000 0.500  0.28
2 Co 0.000 0.500 0.000  1.73
3 Co 0.500 0.000 0.000  1.73
4 H 0.000 0.000 0.000  -0.01
5 Pt 0.500 0.500 0.500  0.47

=====

No. 20
Crystalline La2SmDyY6 at its relaxed geometry, computed with PBE.

space group: C2/c (15)
crystal system: monoclinic
DOS(E_F): 1.5273 states/eV/atom
formation energy: 11 kJ/mol of atoms

Lattice parameters (Å, degrees): 10.000 8.776 8.776 117.38 95.78 95.78
Fractional positions:
1 Y 0.383 0.510 0.302
2 Y 0.617 0.490 0.698
3 Y 0.557 0.735 0.118
4 Y 0.943 0.882 0.265
5 Y 0.687 0.020 0.579
6 Y 0.443 0.265 0.882
7 Y 0.883 0.302 0.510
8 Y 0.313 0.980 0.421
9 Y 0.187 0.579 0.020
10 Y 0.057 0.118 0.735
11 Y 0.117 0.698 0.490
12 Y 0.813 0.421 0.980
13 Dy 0.750 0.596 0.404
14 Dy 0.250 0.404 0.596
15 La 0.044 0.285 0.192
16 La 0.544 0.192 0.285
17 La 0.956 0.715 0.808
18 La 0.456 0.808 0.715
19 Sm 0.750 0.013 0.987
20 Sm 0.250 0.987 0.013